1.
Computed, not measured: crystalline CoCu5Pt6 at its relaxed geometry at the PBE level of DFT.

Energy relative to the elements   -0.124 eV/atom
DFT total energy   -5.443 eV/atom
Volume   13.9 Å³/atom
Space group   Immm
Magnetization   3.10 μB/f.u.

Unit cell a=7.1698 b=7.1698 c=7.1698 alpha=148.38 beta=119.10 gamma=70.25
Last column: nearest neighbours and their distance in Å.
Positions (direct):
Co  0.0000  0.0000  0.0000  8 Pt 2.64-2.65, 4 Cu 2.78
Cu  0.1683  0.6683  0.5000  8 Pt 2.65-2.67, 2 Cu 2.76, 2 Co 2.78
Cu  0.3351  0.3351  0.0000  8 Pt 2.68, 4 Cu 2.75-2.76
Cu  0.5000  0.0000  0.5000  8 Pt 2.67-2.70, 4 Cu 2.75
Cu  0.6649  0.6649  0.0000  8 Pt 2.68, 4 Cu 2.75-2.76
Cu  0.8317  0.3317  0.5000  8 Pt 2.65-2.67, 2 Cu 2.76, 2 Co 2.78
Pt  0.0818  0.8340  0.2478  1 Co 2.65, 7 Cu 2.66-2.68, 4 Pt 2.76-2.77
Pt  0.2440  0.5000  0.7440  2 Co 2.64, 6 Cu 2.65-2.70, 4 Pt 2.76
Pt  0.4138  0.1660  0.2478  1 Co 2.65, 7 Cu 2.66-2.68, 4 Pt 2.76-2.77
Pt  0.5862  0.8340  0.7522  1 Co 2.65, 7 Cu 2.66-2.68, 4 Pt 2.76-2.77
Pt  0.7560  0.5000  0.2560  2 Co 2.64, 6 Cu 2.65-2.70, 4 Pt 2.76
Pt  0.9182  0.1660  0.7522  1 Co 2.65, 7 Cu 2.66-2.68, 4 Pt 2.76-2.77

2.
Computed, not measured: crystalline Ti6NbGa3 at its relaxed geometry at the PBE level of DFT.

Energy relative to the elements   -0.221 eV/atom
Energy above the most stable polymorph in this dataset   0.089 eV/atom
DFT total energy   -6.873 eV/atom
Volume   16.9 Å³/atom
Space group   Cmcm
Magnetization   0.00 μB/f.u.

Unit cell a=7.2449 b=7.2449 c=6.4572 alpha=90.00 beta=90.00 gamma=91.83
Last column: nearest neighbours and their distance in Å.
Positions (direct):
Ti  0.0055  0.4994  0.7500  3 Ga 2.79-2.94, 1 Nb 2.80, 2 Ti 3.05
Ti  0.1684  0.8316  0.5154  5 Ga 2.60-2.74, 1 Nb 2.62
Ti  0.1684  0.8316  0.9846  5 Ga 2.60-2.74, 1 Nb 2.62
Ti  0.3319  0.3319  0.0000  4 Ga 2.61-2.69, 2 Nb 2.77
Ti  0.3319  0.3319  0.5000  4 Ga 2.61-2.69, 2 Nb 2.77
Ti  0.4994  0.0055  0.2500  3 Ga 2.79-2.94, 1 Nb 2.80, 2 Ti 3.05
Ti  0.5006  0.9945  0.7500  3 Ga 2.79-2.94, 1 Nb 2.80, 2 Ti 3.05
Ti  0.6681  0.6681  0.0000  4 Ga 2.61-2.69, 2 Nb 2.77
Ti  0.6681  0.6681  0.5000  4 Ga 2.61-2.69, 2 Nb 2.77
Ti  0.8316  0.1684  0.0154  5 Ga 2.60-2.74, 1 Nb 2.62
Ti  0.8316  0.1684  0.4846  5 Ga 2.60-2.74, 1 Nb 2.62
Ti  0.9945  0.5006  0.2500  3 Ga 2.79-2.94, 1 Nb 2.80, 2 Ti 3.05
Nb  0.3583  0.6417  0.2500  8 Ti 2.62-2.80, 1 Ga 2.81
Nb  0.6417  0.3583  0.7500  8 Ti 2.62-2.80, 1 Ga 2.81
Ga  0.1241  0.1341  0.7500  1 Ga 2.60, 7 Ti 2.61-2.81
Ga  0.1341  0.1241  0.2500  1 Ga 2.60, 7 Ti 2.61-2.81
Ga  0.3720  0.6280  0.7500  8 Ti 2.60-2.79, 1 Nb 2.81
Ga  0.6280  0.3720  0.2500  8 Ti 2.60-2.79, 1 Nb 2.81
Ga  0.8659  0.8759  0.7500  1 Ga 2.60, 7 Ti 2.61-2.81
Ga  0.8759  0.8659  0.2500  1 Ga 2.60, 7 Ti 2.61-2.81

3.
Computed, not measured: crystalline SnBi3Mo at its relaxed geometry at the PBE level of DFT.

Energy relative to the elements   0.610 eV/atom
Energy above the most stable polymorph in this dataset   0.000 eV/atom
DFT total energy   -4.686 eV/atom
Volume   31.8 Å³/atom
Space group   Pm-3m
Magnetization   0.78 μB/f.u.

Unit cell a=5.4150 b=5.4150 c=5.4150 alpha=90.00 beta=90.00 gamma=90.00
Last column: nearest neighbours and their distance in Å.
Positions (direct):
Sn  0.0000  0.0000  0.0000  12 Bi 3.83
Bi  0.0000  0.5000  0.5000  2 Mo 2.71
Bi  0.5000  0.0000  0.5000  2 Mo 2.71
Bi  0.5000  0.5000  0.0000  2 Mo 2.71
Mo  0.5000  0.5000  0.5000  6 Bi 2.71

4.
Computed, not measured: crystalline PtRh3Se8 at its relaxed geometry at the PBE level of DFT.

DFT total energy   -5.049 eV/atom
Volume   20.4 Å³/atom
Space group   C2/m
Magnetization   0.00 μB/f.u.

Unit cell a=6.3063 b=6.3063 c=8.1569 alpha=119.64 beta=119.64 gamma=72.69
Last column: nearest neighbours and their distance in Å.
Positions (direct):
Pt  0.0000  0.0000  0.0000  6 Se 2.53-2.54
Rh  0.0000  0.5000  0.5000  6 Se 2.50-2.51
Rh  0.5000  0.0000  0.5000  6 Se 2.50-2.51
Rh  0.5000  0.5000  0.0000  6 Se 2.50-2.52
Se  0.0432  0.0432  0.3410  2 Rh 2.50, 1 Pt 2.54
Se  0.0429  0.5375  0.8350  2 Rh 2.50, 1 Pt 2.53
Se  0.4586  0.4586  0.6624  3 Rh 2.51-2.52
Se  0.4625  0.9571  0.1650  2 Rh 2.50, 1 Pt 2.53
Se  0.5375  0.0429  0.8350  2 Rh 2.50, 1 Pt 2.53
Se  0.5414  0.5414  0.3376  3 Rh 2.51-2.52
Se  0.9571  0.4625  0.1650  2 Rh 2.50, 1 Pt 2.53
Se  0.9568  0.9568  0.6590  2 Rh 2.50, 1 Pt 2.54

5.
Computed, not measured: crystalline Ba2AsP3Pd12 at its relaxed geometry at the PBE level of DFT.

Energy relative to the elements   -0.375 eV/atom
DFT total energy   -5.211 eV/atom
Volume   21.7 Å³/atom
Space group   R-3m
Magnetization   0.00 μB/f.u.

Unit cell a=8.1072 b=8.1072 c=8.1072 alpha=61.74 beta=61.74 gamma=61.74
Last column: nearest neighbours and their distance in Å.
Positions (direct):
Ba  0.1162  0.1162  0.1162  6 Pd 3.31-3.34
Ba  0.8838  0.8838  0.8838  6 Pd 3.31-3.34
As  0.5000  0.5000  0.5000  6 Pd 2.40
P  0.0000  0.5000  0.5000  6 Pd 2.26-2.27
P  0.5000  0.0000  0.5000  6 Pd 2.26-2.27
P  0.5000  0.5000  0.0000  6 Pd 2.26-2.27
Pd  0.1469  0.5985  0.5985  1 P 2.26, 1 As 2.40
Pd  0.1714  0.1714  0.5874  2 P 2.27
Pd  0.1714  0.5874  0.1714  2 P 2.27
Pd  0.4015  0.4015  0.8531  1 P 2.26, 1 As 2.40
Pd  0.4015  0.8531  0.4015  1 P 2.26, 1 As 2.40
Pd  0.4126  0.8286  0.8286  2 P 2.27
Pd  0.5874  0.1714  0.1714  2 P 2.27
Pd  0.5985  0.1469  0.5985  1 P 2.26, 1 As 2.40
Pd  0.5985  0.5985  0.1469  1 P 2.26, 1 As 2.40
Pd  0.8286  0.4126  0.8286  2 P 2.27
Pd  0.8286  0.8286  0.4126  2 P 2.27
Pd  0.8531  0.4015  0.4015  1 P 2.26, 1 As 2.40

6.
Computed, not measured: crystalline Li2PuBiTe4 at its relaxed geometry at the PBE level of DFT.

DFT total energy   -5.074 eV/atom
Volume   29.8 Å³/atom
Space group   P2/m
Magnetization   5.00 μB/f.u.

Unit cell a=7.5300 b=4.4241 c=7.6278 alpha=90.00 beta=110.16 gamma=90.00
Last column: nearest neighbours and their distance in Å.
Positions (direct):
Li  0.0000  0.0000  0.0000  6 Te 3.06-3.07
Li  0.0000  0.5000  0.5000  6 Te 3.04-3.05
Pu  0.5000  0.0000  0.5000  6 Te 3.13-3.16
Bi  0.5000  0.5000  0.0000  6 Te 3.16
Te  0.2356  0.0000  0.7441  3 Li 3.04-3.06, 1 Pu 3.16, 2 Bi 3.16
Te  0.2405  0.5000  0.2492  3 Li 3.05-3.07, 2 Pu 3.13, 1 Bi 3.16
Te  0.7595  0.5000  0.7508  3 Li 3.05-3.07, 2 Pu 3.13, 1 Bi 3.16
Te  0.7644  0.0000  0.2559  3 Li 3.04-3.06, 1 Pu 3.16, 2 Bi 3.16

7.
Computed, not measured: crystalline TlSiIr at its relaxed geometry at the PBE level of DFT.

Energy above the most stable polymorph in this dataset   0.109 eV/atom
DFT total energy   -5.432 eV/atom
Volume   20.1 Å³/atom
Space group   P-6m2
Magnetization   0.00 μB/f.u.

Unit cell a=4.0529 b=4.0529 c=4.2400 alpha=90.00 beta=90.00 gamma=120.00
Last column: nearest neighbours and their distance in Å.
Positions (direct):
Tl  0.0000  0.0000  0.0000  6 Ir 3.16, 6 Si 3.16
Si  0.6667  0.3333  0.5000  3 Ir 2.34
Ir  0.3333  0.6667  0.5000  3 Si 2.34

8.
Computed, not measured: crystalline CsK5Au3 at its relaxed geometry at the PBE level of DFT.

Energy relative to the elements   -0.180 eV/atom
DFT total energy   -1.977 eV/atom
Volume   48.5 Å³/atom
Space group   C2/m
Magnetization   0.00 μB/f.u.

Unit cell a=8.7652 b=8.7652 c=11.8732 alpha=101.85 beta=101.85 gamma=86.35
Last column: nearest neighbours and their distance in Å.
Positions (direct):
Cs  0.2268  0.2268  0.2497  3 Au 3.42-3.63
Cs  0.7732  0.7732  0.7503  3 Au 3.42-3.63
K  0.1655  0.7369  0.1629  3 Au 3.38-3.58
K  0.2443  0.7557  0.5000  3 Au 3.07-3.28
K  0.2541  0.2541  0.5897  4 Au 3.24-3.59
K  0.2631  0.8345  0.8371  3 Au 3.38-3.58
K  0.3385  0.3385  0.9403  2 Au 3.52-3.66
K  0.6615  0.6615  0.0597  2 Au 3.52-3.66
K  0.7369  0.1655  0.1629  3 Au 3.38-3.58
K  0.7459  0.7459  0.4103  4 Au 3.24-3.59
K  0.7557  0.2443  0.5000  3 Au 3.07-3.28
K  0.8345  0.2631  0.8371  3 Au 3.38-3.58
Au  0.0000  0.0000  0.0000  4 K 3.38, 2 Cs 3.51
Au  0.0017  0.0017  0.6252  1 Au 2.96, 2 K 3.28
Au  0.4948  0.4948  0.2504  1 Au 2.95, 1 K 3.24
Au  0.5000  0.5000  0.5000  2 Au 2.95, 2 K 3.07
Au  0.5052  0.5052  0.7496  1 Au 2.95, 1 K 3.24
Au  0.9983  0.9983  0.3748  1 Au 2.96, 2 K 3.28